Version one
Cd2FeRe: optimized geometry, GGA-PBE.

abc: 2.7180 4.6362 5.4044
angles: 90.00 101.58 90.00
Closest atoms and distances in Å follow each position.
Space group P2/m (No. 10)
Asymmetric unit:
Cd 0.2012 0.0000 0.2551 (multiplicity 2)  4 Cd 2.72-2.81, 2 Fe 2.78, 2 Re 2.90
Fe 0.0000 0.5000 0.5000 (multiplicity 1)  2 Fe 2.72, 2 Re 2.77, 4 Cd 2.78
Re 0.5000 0.5000 0.0000 (multiplicity 1)  2 Re 2.72, 2 Fe 2.77, 4 Cd 2.90

Calculated values
Volume   66.7 Å³ per cell

Version two
Cd2FeRe: optimized geometry, GGA-PBE.

abc: 2.8657 2.8652 8.1069
angles: 90.00 90.15 90.00
Closest atoms and distances in Å follow each position.
Space group Pm (No. 6)
Asymmetric unit:
Cd 0.0000 0.0000 0.0000 (multiplicity 1)  4 Fe 2.84, 4 Cd 2.87
Cd 0.4969 0.5000 0.3096 (multiplicity 1)  4 Cd 2.87, 4 Re 2.99-3.00
Fe 0.4993 0.5000 0.7547 (multiplicity 1)  4 Re 2.46
Re 0.9980 0.0000 0.5819 (multiplicity 1)  4 Fe 2.46

Calculated values
Volume   66.6 Å³ per cell

Which of them is the most stable, and which is the least stable? version two and version one, in that order.

Version one
Cd2FeRe: optimized geometry, GGA-PBE.

abc: 9.4387 2.8224 5.1714
angles: 90.00 101.90 90.00
Closest atoms and distances in Å follow each position.
Space group Cm (No. 8)
Asymmetric unit:
Cd 0.0000 0.0000 0.0000 (multiplicity 2)  5 Cd 2.78-2.93, 2 Fe 2.79, 3 Re 2.93-2.96
Cd 0.2345 0.0000 0.7518 (multiplicity 2)  5 Cd 2.78-2.93, 4 Re 2.86-3.06, 3 Fe 2.91-3.04
Fe 0.4827 0.0000 0.4581 (multiplicity 2)  2 Re 2.52, 2 Cd 2.79, 2 Fe 2.82
Re 0.2618 0.5000 0.2840 (multiplicity 2)  2 Fe 2.52, 2 Re 2.82

Calculated values
Volume   134.8 Å³ per cell

Version two
Cd2FeRe: optimized geometry, GGA-PBE.

abc: 3.1835 4.4709 9.4083
angles: 90.00 90.00 90.00
Closest atoms and distances in Å follow each position.
Space group Cmmm (No. 65)
Asymmetric unit:
Cd 0.0000 0.0000 0.2405 (multiplicity 4)  4 Cd 2.74, 2 Fe 2.77, 2 Re 2.91
Fe 0.0000 0.5000 0.0000 (multiplicity 2)  4 Fe 2.74, 4 Cd 2.77
Re 0.0000 0.5000 0.5000 (multiplicity 2)  4 Re 2.74, 4 Cd 2.91

Calculated values
Volume   133.9 Å³ per cell

Which of them is the most stable, and which is the least stable? version two and version one, in that order.

Version one
Cd2FeRe: optimized geometry, GGA-PBE.

abc: 2.9044 4.8664 9.7568
angles: 90.00 90.00 90.00
Closest atoms and distances in Å follow each position.
Space group Imm2 (No. 44)
Asymmetric unit:
Cd 0.0000 0.0000 0.0000 (multiplicity 2)  4 Re 2.87, 2 Fe 2.87, 4 Cd 2.90-3.08
Cd 0.0000 0.5000 0.2217 (multiplicity 2)  4 Fe 2.85, 4 Cd 2.90-3.08, 2 Re 3.00
Fe 0.0000 0.5000 0.7543 (multiplicity 2)  2 Re 2.42
Re 0.0000 0.0000 0.4529 (multiplicity 2)  2 Fe 2.42

Calculated values
Volume   137.9 Å³ per cell

Version two
Cd2FeRe: optimized geometry, GGA-PBE.

abc: 3.0987 4.6154 9.5449
angles: 90.00 90.00 90.00
Closest atoms and distances in Å follow each position.
Space group Cmm2 (No. 35)
Asymmetric unit:
Cd 0.0000 0.0000 0.0000 (multiplicity 2)  6 Cd 2.78-3.10, 2 Re 2.95
Cd 0.0000 0.5000 0.2926 (multiplicity 2)  6 Cd 2.78-3.10, 2 Fe 2.79
Fe 0.0000 0.0000 0.5362 (multiplicity 2)  2 Re 2.47
Re 0.0000 0.5000 0.7376 (multiplicity 2)  2 Fe 2.47

Calculated values
Volume   136.5 Å³ per cell

Which of them is the most stable, and which is the least stable? version two and version one, in that order.

Version one
Cd2FeRe: optimized geometry, GGA-PBE.

abc: 4.1589 4.1589 7.6974
angles: 90.00 90.00 90.00
Closest atoms and distances in Å follow each position.
Space group I-4m2 (No. 119)
Asymmetric unit:
Cd 0.0000 0.0000 0.0000 (multiplicity 2)  4 Cd 2.83, 4 Fe 2.83, 4 Re 2.94
Cd 0.0000 0.5000 0.2500 (multiplicity 2)  4 Re 2.83, 4 Cd 2.83, 4 Fe 2.94
Fe 0.0000 0.5000 0.7500 (multiplicity 2)  8 Cd 2.83-2.94, 4 Re 2.83
Re 0.0000 0.0000 0.5000 (multiplicity 2)  8 Cd 2.83-2.94, 4 Fe 2.83

Calculated values
Volume   133.1 Å³ per cell

Version two
Cd2FeRe: optimized geometry, GGA-PBE.

abc: 7.4110 7.4110 5.1660
angles: 90.00 90.00 90.00
Closest atoms and distances in Å follow each position.
Space group I-42d (No. 122)
Asymmetric unit:
Cd 0.2264 0.2500 0.1250 (multiplicity 8)  2 Fe 2.58, 2 Cd 2.61, 2 Re 2.82
Fe 0.0000 0.0000 0.0000 (multiplicity 4)  4 Cd 2.58, 2 Re 2.58
Re 0.0000 0.0000 0.5000 (multiplicity 4)  2 Fe 2.58, 4 Cd 2.82

Calculated values
Volume   283.7 Å³ per cell

Which of them is the most stable, and which is the least stable? version one and version two, in that order.

Version one
CdFe2Rh2: optimized geometry, GGA-PBE.

abc: 7.2794 7.2794 2.8328
angles: 90.00 90.00 90.00
Closest atoms and distances in Å follow each position.
Space group P4/mbm (No. 127)
Asymmetric unit:
Cd 0.0000 0.0000 0.0000 (multiplicity 2)  2 Cd 2.83, 4 Fe 2.90, 8 Rh 3.05
Fe 0.1203 0.3797 0.0000 (multiplicity 4)  1 Fe 2.48, 6 Rh 2.56-2.58
Rh 0.1720 0.6720 0.5000 (multiplicity 4)  6 Fe 2.56-2.58, 2 Rh 2.83

Calculated values
Volume   150.1 Å³ per cell

Version two
CdFe2Rh2: optimized geometry, GGA-PBE.

abc: 7.3226 7.3226 2.8334
angles: 90.00 90.00 90.00
Closest atoms and distances in Å follow each position.
Space group P4/mbm (No. 127)
Asymmetric unit:
Cd 0.0000 0.0000 0.0000 (multiplicity 2)  2 Cd 2.83, 4 Rh 2.84, 8 Fe 3.10
Fe 0.1576 0.3424 0.5000 (multiplicity 4)  6 Rh 2.56-2.58, 2 Fe 2.83
Rh 0.1368 0.6368 0.0000 (multiplicity 4)  6 Fe 2.56-2.58, 3 Rh 2.83, 2 Cd 2.84

Calculated values
Volume   151.9 Å³ per cell

Which of them is the most stable, and which is the least stable? version two and version one, in that order.

Version one
CdFeRh: optimized geometry, GGA-PBE.

abc: 2.9570 2.9570 22.4840
angles: 90.00 90.00 90.00
Closest atoms and distances in Å follow each position.
Space group I4/mmm (No. 139)
Asymmetric unit:
Cd 0.0000 0.0000 0.0654 (multiplicity 4)  4 Rh 2.87, 5 Cd 2.94-2.96
Fe 0.0000 0.0000 0.2177 (multiplicity 4)  4 Fe 2.55, 4 Rh 2.55
Rh 0.0000 0.0000 0.3473 (multiplicity 4)  4 Fe 2.55

Calculated values
Volume   196.6 Å³ per cell

Version two
CdFeRh: optimized geometry, GGA-PBE.

abc: 3.0413 3.0413 10.1442
angles: 90.00 90.00 90.00
Closest atoms and distances in Å follow each position.
Space group I4mm (No. 107)
Asymmetric unit:
Cd 0.0000 0.0000 0.0000 (multiplicity 2)  4 Fe 2.83, 5 Rh 2.87-3.17, 4 Cd 3.04
Fe 0.0000 0.0000 0.6816 (multiplicity 2)  4 Rh 2.53
Rh 0.0000 0.0000 0.3124 (multiplicity 2)  4 Fe 2.53

Calculated values
Volume   93.8 Å³ per cell

Version three
CdFeRh: optimized geometry, GGA-PBE.

abc: 5.9653 5.9653 5.9653
angles: 90.00 90.00 90.00
Closest atoms and distances in Å follow each position.
Space group F-43m (No. 216)
Asymmetric unit:
Cd 0.0000 0.0000 0.0000 (multiplicity 4)  4 Fe 2.58
Fe 0.2500 0.2500 0.7500 (multiplicity 4)  4 Cd 2.58, 4 Rh 2.58
Rh 0.0000 0.0000 0.5000 (multiplicity 4)  4 Fe 2.58

Calculated values
Volume   212.3 Å³ per cell

Which of them is the most stable, and which is the least stable? version one and version three, in that order.